No. 1
A relaxed structure of RbSmCo. Source: OQMD, functional PBE-GGA.

## Properties
The calculation puts the volume at 87.0 Å³ per cell. The value obtained for the total energy is -3.30 eV per atom. The symmetry is No. 216. The calculation puts the calculated density at 5.62 g/cm³.

```
3
Lattice="2.2496 -4.4289 0.2566 -1.1276 -3.5566 -3.2896 3.3085 -1.3140 -3.4741" Properties=species:S:1:pos:R:3 pbc="T T T"
Co 0.0000 0.0000 0.0000
Rb 1.1076 -2.3249 -1.6268
Sm 3.3229 -6.9746 -4.8803
```

No. 2
A relaxed structure of RbCo3Sn5. Source: OQMD, functional PBE-GGA.

## Properties
The calculation puts the volume at 218.3 Å³ per cell. The value obtained for the total energy is -4.81 eV per atom. The symmetry is No. 191. The calculation puts the calculated density at 6.51 g/cm³.

```
9
Lattice="-1.1063 0.0475 -5.1334 2.4115 -4.1514 2.1280 -8.1179 -3.8370 1.7140" Properties=species:S:1:pos:R:3 pbc="T T T"
Co -4.6121 -1.8948 -1.7097
Co -2.8532 -3.9942 1.9210
Co -3.4063 -3.9704 -0.6457
Rb 0.0000 0.0000 0.0000
Sn -2.0888 -2.3708 -2.2579
Sn -0.9163 -3.7704 0.1626
Sn -4.0589 -1.9185 0.8570
Sn -5.8964 -4.1705 -1.4540
Sn -4.7238 -5.5701 0.9665
```

No. 3
A relaxed structure of RbCoSn. Source: OQMD, functional PBE-GGA.

## Properties
The calculation puts the volume at 83.3 Å³ per cell. The value obtained for the total energy is -3.18 eV per atom. The symmetry is No. 216. The calculation puts the calculated density at 5.24 g/cm³.

```
3
Lattice="0.0000 3.4669 3.4669 3.4669 0.0000 3.4669 3.4669 3.4669 0.0000" Properties=species:S:1:pos:R:3 pbc="T T T"
Co 0.0000 0.0000 0.0000
Rb 1.7335 1.7335 1.7335
Sn 5.2004 5.2004 5.2004
```

No. 4
A relaxed structure of RbCoSn. Source: OQMD, functional PBE-GGA.

## Properties
The calculation puts the volume at 114.0 Å³ per cell. The value obtained for the total energy is -2.26 eV per atom. The symmetry is No. 216. The calculation puts the calculated density at 3.83 g/cm³.

```
3
Lattice="5.1147 -1.5059 -1.0895 3.1310 -2.0551 3.9482 1.3306 -5.2765 -0.0513" Properties=species:S:1:pos:R:3 pbc="T T T"
Co 2.3941 -2.2094 0.7018
Rb 0.0000 0.0000 0.0000
Sn 7.1823 -6.6282 2.1055
```

No. 5
A relaxed structure of RbSrCo. Source: OQMD, functional PBE-GGA.

## Properties
The calculation puts the volume at 120.3 Å³ per cell. The value obtained for the total energy is -1.90 eV per atom. The symmetry is No. 216. The calculation puts the calculated density at 3.20 g/cm³.

```
3
Lattice="-2.9271 0.3583 4.6906 -5.3186 -1.5510 0.0718 -1.5062 -4.6070 2.6842" Properties=species:S:1:pos:R:3 pbc="T T T"
Co -2.4380 -1.4499 1.8617
Rb 0.0000 0.0000 0.0000
Sr -7.3139 -4.3498 5.5850
```

No. 6
A relaxed structure of RbSrCo. Source: OQMD, functional PBE-GGA.

## Properties
The calculation puts the volume at 119.4 Å³ per cell. The value obtained for the total energy is -2.32 eV per atom. The symmetry is No. 216. The calculation puts the calculated density at 3.23 g/cm³.

```
3
Lattice="0.0000 3.9078 3.9078 3.9078 0.0000 3.9078 3.9078 3.9078 0.0000" Properties=species:S:1:pos:R:3 pbc="T T T"
Co 0.0000 0.0000 0.0000
Rb 1.9539 1.9539 1.9539
Sr 5.8618 5.8618 5.8618
```

No. 7
A relaxed structure of RbTbCo. Source: OQMD, functional PBE-GGA.

## Properties
The calculation puts the volume at 86.7 Å³ per cell. The value obtained for the total energy is -3.24 eV per atom. The symmetry is No. 216. The calculation puts the calculated density at 5.81 g/cm³.

```
3
Lattice="0.0000 3.5131 3.5131 3.5131 0.0000 3.5131 3.5131 3.5131 0.0000" Properties=species:S:1:pos:R:3 pbc="T T T"
Co 0.0000 0.0000 0.0000
Rb 1.7566 1.7566 1.7566
Tb 5.2697 5.2697 5.2697
```

No. 8
A relaxed structure of RbTbCoTe3. Source: OQMD, functional PBE-GGA.

## Properties
The calculation puts the volume at 387.6 Å³ per cell. The value obtained for the total energy is -4.32 eV per atom. The symmetry is No. 12. The calculation puts the calculated density at 5.88 g/cm³.

```
12
Lattice="8.9871 -2.3009 0.0000 8.9871 2.3009 0.0000 -1.7960 0.0000 9.3721" Properties=species:S:1:pos:R:3 pbc="T T T"
Co 8.5353 0.0000 2.0393
Co 7.6427 0.0000 7.3329
Rb 14.4863 0.0000 4.0195
Rb 1.6918 0.0000 5.3526
Tb 2.8684 0.0000 0.7783
Tb 13.3096 0.0000 8.5938
Te 0.0000 0.0000 0.0000
Te 5.9015 0.0000 1.3360
Te 11.0948 0.0000 2.6712
Te 8.0890 0.0000 4.6861
Te 5.0833 0.0000 6.7009
Te 10.2766 0.0000 8.0361
```